VASP calculation (PBE-GGA) on crystalline AsRu2Au at its relaxed geometry.

Cell and atoms, written as CIF:
```
data_AsRu2Au
_symmetry_space_group_name_H-M 'C m m m'
_symmetry_Int_Tables_number 65
_symmetry_space_group_name_Hall '-C 2 2'
_cell_length_a 6.2008
_cell_length_b 6.2091
_cell_length_c 3.1790
_cell_angle_alpha 90.00
_cell_angle_beta 90.00
_cell_angle_gamma 90.00
loop_
_atom_site_label
_atom_site_type_symbol
_atom_site_fract_x
_atom_site_fract_y
_atom_site_fract_z
_atom_site_occupancy
As1 As 0.0000 0.0000 0.0000 1
Ru1 Ru 0.2500 0.2500 0.5000 1
Au1 Au 0.0000 0.5000 0.0000 1
```

Computed properties:
Size of the total moment   0.0000 μB per atom
Total energy   -50.513 eV for the cell shown

=====

VASP calculation (PBE-GGA) on crystalline CaTbAs at its relaxed geometry.

Cell and atoms, written as CIF:
```
data_CaTbAs
_symmetry_space_group_name_H-M 'I m m m'
_symmetry_Int_Tables_number 71
_symmetry_space_group_name_Hall '-I 2 2'
_cell_length_a 3.6102
_cell_length_b 5.6680
_cell_length_c 17.0814
_cell_angle_alpha 90.00
_cell_angle_beta 90.00
_cell_angle_gamma 90.00
loop_
_atom_site_label
_atom_site_type_symbol
_atom_site_fract_x
_atom_site_fract_y
_atom_site_fract_z
_atom_site_occupancy
Ca1 Ca 0.0000 0.0000 0.1773 1
Tb1 Tb 0.0000 0.2449 0.5000 1
As1 As 0.0000 0.0000 0.3492 1
```

Computed properties:
Size of the total moment   0.0001 μB per atom
Total energy   -50.139 eV for the cell shown

=====

VASP calculation (PBE-GGA) on crystalline ThSc5P6 at its relaxed geometry.

Cell and atoms, written as CIF:
```
data_ThSc5P6
_symmetry_space_group_name_H-M 'C 1 2/m 1'
_symmetry_Int_Tables_number 12
_cell_length_a 6.6481
_cell_length_b 11.5050
_cell_length_c 6.6534
_cell_angle_alpha 90.00
_cell_angle_beta 109.57
_cell_angle_gamma 90.00
loop_
_symmetry_equiv_pos_as_xyz
'x,y,z'
'-x,-y,-z'
'-x,y,-z'
'x,-y,z'
'x+1/2,y+1/2,z'
'-x+1/2,-y+1/2,-z'
'-x+1/2,y+1/2,-z'
'x+1/2,-y+1/2,z'
loop_
_atom_site_label
_atom_site_type_symbol
_atom_site_fract_x
_atom_site_fract_y
_atom_site_fract_z
_atom_site_occupancy
Th1 Th 0.0000 0.0000 0.0000 1
Sc1 Sc 0.0000 0.1637 0.5000 1
Sc2 Sc 0.0000 0.3328 0.0000 1
Sc3 Sc 0.0000 0.5000 0.5000 1
P1 P 0.2389 0.5000 0.2563 1
P2 P 0.2405 0.3268 0.7408 1
```

Computed properties:
Size of the total moment   0.0000 μB per atom
Total energy   -178.697 eV for the cell shown

=====

VASP calculation (PBE-GGA) on crystalline Ca2CoNiN at its relaxed geometry.

Cell and atoms, written as CIF:
```
data_Ca2CoNiN
_symmetry_space_group_name_H-M 'P 4/m m m'
_symmetry_Int_Tables_number 123
_symmetry_space_group_name_Hall '-P 4 2'
_cell_length_a 4.9734
_cell_length_b 4.9734
_cell_length_c 3.4927
_cell_angle_alpha 90.00
_cell_angle_beta 90.00
_cell_angle_gamma 90.00
loop_
_atom_site_label
_atom_site_type_symbol
_atom_site_fract_x
_atom_site_fract_y
_atom_site_fract_z
_atom_site_occupancy
Ca1 Ca 0.0000 0.5000 0.0000 1
Co1 Co 0.0000 0.0000 0.5000 1
Ni1 Ni 0.5000 0.5000 0.5000 1
N1 N 0.0000 0.0000 0.0000 1
```

Computed properties:
Size of the total moment   0.0749 μB per atom
Total energy   -26.799 eV for the cell shown

=====

VASP calculation (PBE-GGA) on crystalline SrPdAu2 at its relaxed geometry.

Cell and atoms, written as CIF:
```
data_SrPdAu2
_symmetry_space_group_name_H-M 'F m -3 m'
_symmetry_Int_Tables_number 225
_symmetry_space_group_name_Hall '-F 4 2 3'
_cell_length_a 7.0520
_cell_length_b 7.0520
_cell_length_c 7.0520
_cell_angle_alpha 90.00
_cell_angle_beta 90.00
_cell_angle_gamma 90.00
loop_
_atom_site_label
_atom_site_type_symbol
_atom_site_fract_x
_atom_site_fract_y
_atom_site_fract_z
_atom_site_occupancy
Sr1 Sr 0.0000 0.0000 0.0000 1
Pd1 Pd 0.0000 0.0000 0.5000 1
Au1 Au 0.2500 0.2500 0.2500 1
```

Computed properties:
Excess energy over the best structure of this formula in the dataset   0.212 eV per atom
Size of the total moment   0.0000 μB per atom

=====

VASP calculation (PBE-GGA) on crystalline BaSn2HgAu at its relaxed geometry.

Cell and atoms, written as CIF:
```
data_BaSn2HgAu
_symmetry_space_group_name_H-M 'I -4 m 2'
_symmetry_Int_Tables_number 119
_symmetry_space_group_name_Hall 'I -4 -2'
_cell_length_a 5.0201
_cell_length_b 5.0201
_cell_length_c 11.4968
_cell_angle_alpha 90.00
_cell_angle_beta 90.00
_cell_angle_gamma 90.00
loop_
_atom_site_label
_atom_site_type_symbol
_atom_site_fract_x
_atom_site_fract_y
_atom_site_fract_z
_atom_site_occupancy
Ba1 Ba 0.0000 0.0000 0.0000 1
Sn1 Sn 0.0000 0.0000 0.3738 1
Hg1 Hg 0.0000 0.5000 0.2500 1
Au1 Au 0.0000 0.5000 0.7500 1
```

Computed properties:
Size of the total moment   0.0000 μB per atom
Total energy   -31.724 eV for the cell shown